This record from the Alexandria database describes crystalline Tm6Ir2Ru at its relaxed geometry. The functional is PBE.

The calculation puts the distance to the lowest polymorph of the same formula at 44 meV per atom. The spin magnetization is 0.00 μB/f.u. As for the calculated formation energy: -0.585 eV/atom.

a = 6.565 Å, b = 7.216 Å, c = 11.156 Å
α = 90.00°, β = 123.22°, γ = 90.00°
Space group P2_1/c (No. 14)
Inequivalent atoms, fractional coordinates:
Tm (0.078, 0.037, 0.242) x4
Tm (0.226, 0.667, 0.073) x4
Tm (0.394, 0.172, 0.069) x4
Ir (0.317, 0.133, 0.778) x4
Ru (0.500, 0.000, 0.500) x2